(1)
The following is a PBE-GGA calculation of crystalline Ho4GaAu3 at its relaxed geometry, from Alexandria via LeMat-Bulk. Values from VASP.

Quantum ESPRESSO input file:
```
&SYSTEM
  ibrav = 0, nat = 8, ntyp = 3
/
ATOMIC_SPECIES
Ho 164.93 Ho.upf
Ga 69.72 Ga.upf
Au 196.97 Au.upf
CELL_PARAMETERS angstrom
3.6915 0.0000 0.0000
0.0000 4.6418 0.0000
0.0000 0.0000 11.0477
ATOMIC_POSITIONS crystal
Ho 0.0000 0.0000 0.0000
Ho 0.0000 0.5000 0.2795
Ho 0.5000 0.0000 0.4958
Ho 0.5000 0.5000 0.7829
Ga 0.0000 0.0000 0.7231
Au 0.0000 0.5000 0.5574
Au 0.5000 0.0000 0.2269
Au 0.5000 0.5000 0.0529
```

Summary:
VASP energy	-4.70	eV per atom
Fermi-level density of states	5.29	states/eV/f.u.
magnetization	0.0	Bohr magnetons per cell
ρ	11.6	g cm⁻³


(2)
The following is a PBE-GGA calculation of crystalline Ho2Ga2Au3 at its relaxed geometry, from Alexandria via LeMat-Bulk. Values from VASP.

Quantum ESPRESSO input file:
```
&SYSTEM
  ibrav = 0, nat = 7, ntyp = 3
/
ATOMIC_SPECIES
Ho 164.93 Ho.upf
Ga 69.72 Ga.upf
Au 196.97 Au.upf
CELL_PARAMETERS angstrom
5.2461 -2.0530 0.0000
5.2461 2.0530 0.0000
-2.9391 0.0000 6.5765
ATOMIC_POSITIONS crystal
Ho 0.1336 0.1336 0.2676
Ho 0.8664 0.8664 0.7324
Ga 0.1549 0.1549 0.7044
Ga 0.8451 0.8451 0.2956
Au 0.3837 0.3837 0.0612
Au 0.5000 0.5000 0.5000
Au 0.6163 0.6163 0.9388
```

Summary:
energy above the lowest structure with this stoichiometry	0.0	kJ/mol of atoms
Fermi-level density of states	2.97	states/eV/f.u.
magnetization	0.0	Bohr magnetons per cell
ρ	12.4	g cm⁻³


- ρ of number 2 (Ho2Ga2Au3)?
  12.4 g cm⁻³


- Look up the ρ of the first one.
  11.6 g cm⁻³


- What is the Fermi-level density of states in the second record?
  2.97 states/eV/f.u.


- Among the records above, which one has the lowest ρ?
  Ho4GaAu3